VASP calculation (PBE+U) on LaTl2MoO8 after structural relaxation.

Computed properties:
Theoretical density = 7.1 Mg/m³
Calculated total energy = -6.116 eV/atom
Volume = 361 Å³ per cell

abc: 7.1429 7.2265 6.9924
angles: 90.00 90.00 90.00
Last column: nearest neighbours and their distance in Å.
Space group Cmmm (No. 65)
Inequivalent atoms, fractional coordinates:
La 0.0000 0.0000 0.0000 x2  6 O 2.26-2.45
Tl 0.0000 0.5000 0.2617 x4  6 O 2.25-2.32
Mo 0.0000 0.0000 0.5000 x2  6 O 1.93-2.00
O 0.0000 0.1806 0.2973 x8  1 Mo 1.93
O 0.1834 0.5000 0.0000 x4  2 Tl 2.25, 1 La 2.26
O 0.2194 0.5000 0.5000 x4  1 Mo 2.00